# 1
Density functional theory data (GGA-PBE) for a relaxed structure of Pm3ThRh8.

Structure (POSCAR):
```
Pm3ThRh8
1.0
5.179 0.000 1.563
2.354 4.613 1.563
0.003 0.002 9.351
Rh Pm Th
8 3 1
Direct
0.187 0.187 0.438 Rh
0.438 0.935 0.189 Rh
0.937 0.439 0.686 Rh
0.937 0.937 0.686 Rh
0.438 0.438 0.189 Rh
0.439 0.937 0.686 Rh
0.688 0.688 0.937 Rh
0.935 0.438 0.189 Rh
0.002 0.002 0.994 Pm
0.374 0.374 0.878 Pm
0.498 0.498 0.505 Pm
0.876 0.876 0.373 Th
```

Calculated values
* SG: R3m

=====

# 2
Density functional theory data (GGA-PBE) for a relaxed structure of PmTmTh2Rh4.

Structure (POSCAR):
```
PmTmTh2Rh4
1.0
-4.444 -3.009 -2.048
2.959 -4.923 -0.063
-0.935 2.891 6.275
Tm Th Rh Pm
1 2 4 1
Direct
0.510 0.510 0.000 Tm
0.155 0.655 0.500 Th
0.655 0.155 0.500 Th
0.627 0.627 0.456 Rh
0.171 0.171 0.544 Rh
0.022 0.421 0.000 Rh
0.421 0.022 0.000 Rh
0.935 0.935 0.000 Pm
```

Calculated values
* SG: Fmm2

=====

# 3
Density functional theory data (GGA-PBE) for a relaxed structure of PmThZnRh.

Structure (POSCAR):
```
PmThZnRh
1.0
-0.006 3.033 -4.091
-0.837 -1.963 -4.624
-4.364 0.985 -2.433
Rh Pm Th Zn
1 1 1 1
Direct
0.750 0.750 0.750 Rh
0.000 0.000 0.000 Pm
0.500 0.500 0.500 Th
0.250 0.250 0.250 Zn
```

Calculated values
* SG: F-43m

=====

# 4
Density functional theory data (GGA-PBE) for a relaxed structure of PmTiRh4.

Structure (POSCAR):
```
PmTiRh4
1.0
5.260 0.000 0.000
2.630 4.555 0.000
2.630 1.518 4.295
Ti Rh Pm
1 4 1
Direct
0.250 0.250 0.250 Ti
0.625 0.625 0.625 Rh
0.625 0.625 0.126 Rh
0.126 0.625 0.625 Rh
0.625 0.126 0.625 Rh
0.000 0.000 0.000 Pm
```

Calculated values
* SG: F-43m

=====

# 5
Density functional theory data (GGA-PBE) for a relaxed structure of PmTiRh2.

Structure (POSCAR):
```
PmTiRh2
1.0
-2.603 -1.296 3.682
-3.920 -2.492 -0.659
-0.159 -4.508 1.290
Rh Pm Ti
2 1 1
Direct
0.750 0.750 0.750 Rh
0.250 0.250 0.250 Rh
0.000 0.000 0.000 Pm
0.500 0.500 0.500 Ti
```

Calculated values
* SG: Fm-3m
* energy relative to the lowest polymorph listed for this composition: 0.1400 eV per atom

=====

# 6
Density functional theory data (GGA-PBE) for a relaxed structure of PmTiRh2.

Structure (POSCAR):
```
PmTiRh2
1.0
-3.881 1.638 0.574
-3.113 -2.417 1.596
-1.038 1.164 5.400
Pm Ti Rh
1 1 2
Direct
0.500 0.500 0.500 Pm
0.000 0.000 0.000 Ti
0.717 0.717 0.850 Rh
0.283 0.283 0.150 Rh
```

Calculated values
* SG: R-3m
* energy relative to the lowest polymorph listed for this composition: 0.0563 eV per atom

=====

# 7
Density functional theory data (GGA-PBE) for a relaxed structure of PmTiRh2.

Structure (POSCAR):
```
PmTiRh2
1.0
3.173 0.000 0.000
0.000 3.173 0.000
0.000 0.000 7.177
Ti Rh Pm
1 2 1
Direct
0.500 0.500 0.000 Ti
0.000 0.000 0.798 Rh
0.000 0.000 0.202 Rh
0.500 0.500 0.500 Pm
```

Calculated values
* SG: P4/mmm
* energy relative to the lowest polymorph listed for this composition: 0.0000 eV per atom

=====

# 8
Density functional theory data (GGA-PBE) for a relaxed structure of PmTiRh2.

Structure (POSCAR):
```
PmTiRh2
1.0
-1.064 -1.617 -2.595
-1.409 -3.574 2.804
-4.265 2.051 0.472
Rh Ti Pm
2 1 1
Direct
0.000 0.500 0.000 Rh
0.000 0.000 0.500 Rh
0.500 0.500 0.500 Ti
0.500 0.000 0.000 Pm
```

Calculated values
* SG: P4/mmm
* energy relative to the lowest polymorph listed for this composition: 0.1628 eV per atom

=====

# 9
Density functional theory data (GGA-PBE) for a relaxed structure of PmTiZnRh2.

Structure (POSCAR):
```
PmTiZnRh2
1.0
-2.230 0.832 3.236
1.923 -2.862 2.060
4.110 4.914 -0.924
Pm Rh Zn Ti
1 2 1 1
Direct
0.000 0.000 0.000 Pm
0.386 0.386 0.773 Rh
0.614 0.614 0.227 Rh
0.750 0.250 0.500 Zn
0.250 0.750 0.500 Ti
```

Calculated values
* SG: I-4m2

=====

# 10
Density functional theory data (GGA-PBE) for a relaxed structure of Pm7Tl2Rh.

Structure (POSCAR):
```
Pm7Tl2Rh
1.0
7.849 0.000 0.000
3.925 6.798 0.000
3.925 2.266 6.409
Pm Tl Rh
7 2 1
Direct
0.243 0.243 0.757 Pm
0.757 0.757 0.243 Pm
0.243 0.757 0.757 Pm
0.500 0.500 0.500 Pm
0.757 0.243 0.243 Pm
0.757 0.243 0.757 Pm
0.243 0.757 0.243 Pm
0.750 0.750 0.750 Tl
0.250 0.250 0.250 Tl
0.000 0.000 0.000 Rh
```

Calculated values
* SG: Fm-3m

=====

# 11
Density functional theory data (GGA-PBE) for a relaxed structure of Pm6TlRh.

Structure (POSCAR):
```
Pm6TlRh
1.0
-0.279 4.461 -4.880
-7.812 1.486 -1.020
-3.632 4.585 2.986
Tl Pm Rh
1 6 1
Direct
0.000 0.000 0.000 Tl
0.345 0.218 0.000 Pm
0.789 0.565 0.623 Pm
0.655 0.782 0.000 Pm
0.211 0.435 0.377 Pm
0.789 0.189 0.377 Pm
0.211 0.811 0.623 Pm
0.500 0.500 0.000 Rh
```

Calculated values
* SG: C2/m

=====

# 12
Density functional theory data (GGA-PBE) for a relaxed structure of Pm3Tl2Rh4.

Structure (POSCAR):
```
Pm3Tl2Rh4
1.0
5.759 -0.453 -0.324
-0.263 8.494 -0.415
-0.263 2.344 8.175
Rh Tl Pm
8 4 6
Direct
0.554 0.060 0.737 Rh
0.800 0.137 0.447 Rh
0.946 0.263 0.940 Rh
0.200 0.863 0.553 Rh
0.300 0.447 0.137 Rh
0.446 0.940 0.263 Rh
0.700 0.553 0.863 Rh
0.054 0.737 0.060 Rh
0.194 0.567 0.793 Tl
0.694 0.793 0.567 Tl
0.806 0.433 0.207 Tl
0.306 0.207 0.433 Tl
0.957 0.994 0.219 Pm
0.543 0.781 0.006 Pm
0.457 0.219 0.994 Pm
0.750 0.383 0.617 Pm
0.043 0.006 0.781 Pm
0.250 0.617 0.383 Pm
```

Calculated values
* SG: C2/c

=====

| no. | formation energy (meV/atom) |
| --- | --- |
| 1 | -705 |
| 2 | -779 |
| 3 | -442 |
| 4 | -447 |
| 5 | -529 |
| 6 | -613 |
| 7 | -669 |
| 8 | -506 |
| 9 | -620 |
| 10 | 153 |
| 11 | -119 |
| 12 | -388 |